Record 1
RbAlCd2 | the Alexandria database | SCAN | single point on PBEsol structure; ΔH_f (0 K) = 138 meV per atom; DFT total energy = -22.1915 eV per atom; SG = I4_1/amd, No. 141; M_tot = 0.00 μB/f.u.; density = 3.78 g/cm3
1.0
-2.908 2.908 8.761
2.908 -2.908 8.761
2.908 2.908 -8.761
Rb Al Cd
2 2 4
Direct
0.375 0.625 0.750
0.625 0.375 0.250
0.125 0.875 0.250
0.875 0.125 0.750
0.000 0.000 0.000
0.000 0.000 0.500
0.000 0.500 0.000
0.500 0.000 0.500



Record 2
Al2CdRe | the Alexandria database | SCAN | single point on PBEsol structure; ΔH_f (0 K) = 46 meV per atom; DFT total energy = -29.2077 eV per atom; SG = P4/mmm, No. 123; M_tot = 0.00 μB/f.u.; density = 9.55 g/cm3
1.0
4.303 0.000 0.000
0.000 4.303 0.000
0.000 0.000 3.309
Al Cd Re
2 1 1
Direct
0.000 0.500 0.000
0.500 0.000 0.000
0.000 0.000 0.500
0.500 0.500 0.500



Record 3
Al4CdRe | the Alexandria database | SCAN | single point on PBEsol structure; ΔH_f (0 K) = 163 meV per atom; DFT total energy = -21.9231 eV per atom; SG = F-43m, No. 216; M_tot = 0.49 μB/f.u.; density = 7.27 g/cm3
1.0
0.000 3.593 3.593
3.593 0.000 3.593
3.593 3.593 0.000
Al Cd Re
4 1 1
Direct
0.376 0.376 0.376
0.376 0.376 0.872
0.376 0.872 0.376
0.872 0.376 0.376
0.000 0.000 0.000
0.750 0.750 0.750